A plane-wave DFT calculation with PBE with a Hubbard U was carried out for SrCoNO after structural relaxation.

Lattice parameters (Å, degrees): 3.966 3.966 8.432 90.00 90.00 90.46
Positions (direct):
Sr 0.250 0.750 0.852
Sr 0.750 0.250 0.148
Co 0.250 0.250 0.500
Co 0.750 0.750 0.500
N 0.250 0.750 0.515
N 0.750 0.250 0.485
O 0.250 0.250 0.000
O 0.750 0.750 0.000

- Raw total energy: -45.94 eV per cell
- Volume: 133 Å³/cell
- Mass density: 4.42 g cm⁻³
- Excess energy over the best structure of this formula in the dataset: 267 meV/atom